## Ho5SnPd2 (PBE-GGA)

Data for a relaxed Ho5SnPd2 crystal.

Calculated values
- formation energy from the elements (meV/atom) = -700
- ρ (kg/m³) = 9407

Cell: 7.7907 7.7907 13.4504 Å, 90.00 90.00 90.00°
Space group I4/mcm (No. 140)
Asymmetric unit:
Ho: 0.0000 0.0000 0.0000
Ho: 0.1577 0.3424 0.1420
Sn: 0.0000 0.0000 0.2500
Pd: 0.1346 0.3654 0.5000